A plane-wave DFT calculation with PBE was carried out for a relaxed Co3Pb5 crystal.

Cell: 7.5386 7.5386 3.4626 Å, 90.00 90.00 98.80°
Last column: nearest neighbours and their distance in Å.
Positions (direct):
Co1 0.5000 0.5000 0.0000  4 Co 2.44
Pb1 0.5000 0.0000 0.0000  4 Co 3.21, 6 Pb 3.36-3.46
Co2 0.3495 0.6505 0.5000  2 Co 2.44
Pb2 0.2812 0.2812 0.5000  4 Co 2.75-2.76
Pb3 0.0000 0.5000 0.0000  4 Co 3.21, 6 Pb 3.36-3.46
Pb4 0.0000 0.0000 0.0000  6 Pb 3.26-3.46
Pb5 0.7188 0.7188 0.5000  4 Co 2.75-2.76
Co3 0.6505 0.3495 0.5000  2 Co 2.44

## Properties
calculated formation energy = 0.5023 eV per atom
space-group type = Cmmm, No. 65

A plane-wave DFT calculation with PBE was carried out for a relaxed PbAu2C2 crystal.

Cell: 4.1985 4.1985 5.6498 Å, 68.19 68.19 90.00°
Last column: nearest neighbours and their distance in Å.
Positions (direct):
Pb1 0.0000 0.0000 0.0000  10 Au 3.14-3.41, 8 C 3.19
C1 0.2500 0.7500 0.5000  4 Au 2.22
Au1 0.6736 0.6736 0.6529  4 C 2.22
Au2 0.3264 0.3264 0.3471  4 C 2.22
C2 0.7500 0.2500 0.5000  4 Au 2.22

## Properties
calculated formation energy = 1.5210 eV per atom
space-group type = I4/mmm, No. 139

A plane-wave DFT calculation with PBE was carried out for a relaxed Fe3H3Rh2 crystal.

Cell: 3.8960 4.5839 9.3319 Å, 89.29 90.00 115.15°
Last column: nearest neighbours and their distance in Å.
Positions (direct):
Fe1 0.0582 0.1165 0.1251  3 H 1.88-2.01
Fe2 0.0371 0.0742 0.3663  3 H 1.90-2.03
H1 0.8417 0.6833 0.0696  3 Fe 1.88-2.08, 3 Rh 1.91-1.96
Fe3 0.9716 0.9433 0.8770  3 H 1.96-2.12
H2 0.7575 0.5150 0.7551  2 Rh 1.87-1.94, 3 Fe 1.95-2.03
H3 0.8164 0.6327 0.4244  3 Fe 1.90-2.00, 2 Rh 1.96
Fe4 0.6352 0.2704 0.5680  4 H 1.96-2.03
H4 0.1943 0.3885 0.9452  3 Rh 1.94-1.96, 3 Fe 1.96-2.01
Fe5 0.2592 0.5185 0.7380  4 H 1.92-2.00
Rh1 0.9408 0.8815 0.6242  2 H 1.86-1.94
Rh2 0.6662 0.3324 0.9393  4 H 1.87-1.96
Rh3 0.3691 0.7382 0.0816  4 H 1.93-1.96
Rh4 0.3392 0.6784 0.4322  4 H 1.88-1.96
Fe6 0.7042 0.4084 0.2479  4 H 1.90-2.00
H5 0.2361 0.4723 0.2534  2 Rh 1.88-1.93, 4 Fe 1.91-1.97
H6 0.1533 0.3065 0.5569  2 Rh 1.86-1.92, 4 Fe 1.92-2.03

## Properties
space-group type = Cm, No. 8

A plane-wave DFT calculation with PBE was carried out for a relaxed DyHo9Sc2 crystal.

Cell: 3.4434 10.9886 10.9886 Å, 120.00 90.00 90.00°
Last column: nearest neighbours and their distance in Å.
Positions (direct):
Ho1 0.5000 0.6418 0.8209  2 Sc 3.40, 8 Ho 3.41-3.51
Ho2 0.5000 0.3582 0.1791  2 Sc 3.40, 8 Ho 3.41-3.51
Dy1 0.0000 0.0000 0.0000  2 Dy 3.44, 12 Ho 3.82
Sc1 0.0000 0.6667 0.3333  9 Ho 3.17-3.40, 2 Sc 3.44
Sc2 0.0000 0.3333 0.6667  9 Ho 3.17-3.40, 2 Sc 3.44
Ho3 0.5000 0.8209 0.6418  2 Sc 3.40, 8 Ho 3.41-3.51
Ho4 0.0000 0.0000 0.5000  2 Sc 3.17, 10 Ho 3.44-3.51
Ho5 0.5000 0.1791 0.3582  2 Sc 3.40, 8 Ho 3.41-3.51
Ho6 0.5000 0.1791 0.8209  2 Sc 3.40, 8 Ho 3.41-3.51
Ho7 0.0000 0.5000 0.5000  2 Sc 3.17, 10 Ho 3.44-3.51
Ho8 0.0000 0.5000 0.0000  2 Sc 3.17, 10 Ho 3.44-3.51
Ho9 0.5000 0.8209 0.1791  2 Sc 3.40, 8 Ho 3.41-3.51

## Properties
calculated formation energy = 0.0448 eV per atom
space-group type = P6/mmm, No. 191

A plane-wave DFT calculation with PBE was carried out for a relaxed MoAu2 crystal.

Cell: 5.3416 5.3416 5.3416 Å, 60.00 60.00 60.00°
Last column: nearest neighbours and their distance in Å.
Positions (direct):
Au1 0.6250 0.1250 0.1250  6 Au 2.67
Au2 0.1250 0.1250 0.6250  6 Au 2.67
Mo1 0.7500 0.7500 0.7500  12 Au 3.13, 4 Mo 3.27
Mo2 0.5000 0.5000 0.5000  12 Au 3.13, 4 Mo 3.27
Au3 0.1250 0.6250 0.1250  6 Au 2.67
Au4 0.1250 0.1250 0.1250  6 Au 2.67

## Properties
calculated formation energy = 0.7116 eV per atom
space-group type = Fd-3m, No. 227

A plane-wave DFT calculation with PBE was carried out for a relaxed LiNpBiO2 crystal.

Cell: 3.8318 3.8318 7.2330 Å, 105.36 105.36 90.00°
Last column: nearest neighbours and their distance in Å.
Positions (direct):
Bi1 0.4923 0.4923 0.9847  4 Np 3.59, 8 O 3.78-3.94, 5 Li 3.82-4.02, 4 Bi 3.83
O1 0.2492 0.7492 0.4984  2 Li 2.06, 2 Np 2.12
O2 0.7492 0.2492 0.4984  2 Li 2.06, 2 Np 2.12
Li1 0.1926 0.1926 0.3852  4 O 2.06
Np1 0.8166 0.8166 0.6332  4 O 2.12

## Properties
space-group type = I4mm, No. 107

| no. | size of the total moment (μB/f.u.) | calculated total energy (eV per atom) |
| --- | --- | --- |
| 1 | 4.6 | -4.480 |
| 2 | 0.0 | -4.221 |
| 3 | 9.1 | -6.142 |
| 4 | 0.0 | -4.827 |
| 5 | 0.0 | -5.084 |
| 6 | 2.7 | -7.549 |